Entry from Alexandria: an optimized crystal structure of PaSi3Os3 (GGA-PBE).

abc: 6.513 6.513 6.513
angles: 90.00 90.00 90.00
Fractional coordinates of all 14 atoms:
Pa 0.000 0.000 0.000
Pa 0.500 0.500 0.500
Si 0.000 0.250 0.500
Si 0.000 0.750 0.500
Si 0.250 0.500 0.000
Si 0.500 0.000 0.250
Si 0.500 0.000 0.750
Si 0.750 0.500 0.000
Os 0.000 0.500 0.250
Os 0.000 0.500 0.750
Os 0.250 0.000 0.500
Os 0.500 0.250 0.000
Os 0.500 0.750 0.000
Os 0.750 0.000 0.500

Summary:
- Excess energy over the best structure of this formula in the dataset: 454 meV per atom
- Raw formation energy: 0.2692 eV per atom
- Space-group type: Pm-3n (223)